Entry from Alexandria via LeMat-Bulk: a relaxed URuAu crystal (PBE-GGA).

CIF file:
```
data_URuAu
_cell_length_a 5.0003
_cell_length_b 5.5269
_cell_length_c 4.7484
_cell_angle_alpha 89.20
_cell_angle_beta 90.00
_cell_angle_gamma 116.89
_space_group_name_H-M_alt 'P 1'
_space_group_IT_number 1
loop_
_space_group_symop_operation_xyz
'x,y,z'
loop_
_atom_site_label
_atom_site_type_symbol
_atom_site_fract_x
_atom_site_fract_y
_atom_site_fract_z
_atom_site_occupancy
Ru1 Ru 0.3020 0.6039 0.3629 1
Ru2 Ru 0.6980 0.3961 0.6371 1
U1 U 0.6008 0.2015 0.1825 1
U2 U 0.3992 0.7985 0.8175 1
Au1 Au 0.9117 0.8234 0.2316 1
Au2 Au 0.0883 0.1766 0.7684 1
```

## Properties
M_tot = 0.27 μB/atom
ρ = 15.21 g/cm3
space group = C2/m
formation enthalpy at 0 K = -0.24 eV per atom
DOS(E_F) = 3.56 states/eV/f.u.
calculated total energy = -8.187 eV/atom


Entry from Alexandria via LeMat-Bulk: a relaxed URu2Au crystal (PBE-GGA).

CIF file:
```
data_URu2Au
_cell_length_a 4.6126
_cell_length_b 4.6126
_cell_length_c 4.6126
_cell_angle_alpha 60.00
_cell_angle_beta 60.00
_cell_angle_gamma 60.00
_space_group_name_H-M_alt 'P 1'
_space_group_IT_number 1
loop_
_space_group_symop_operation_xyz
'x,y,z'
loop_
_atom_site_label
_atom_site_type_symbol
_atom_site_fract_x
_atom_site_fract_y
_atom_site_fract_z
_atom_site_occupancy
Au1 Au 0.5000 0.5000 0.5000 1
U1 U 0.0000 0.0000 0.0000 1
Ru1 Ru 0.2500 0.2500 0.2500 1
Ru2 Ru 0.7500 0.7500 0.7500 1
```

## Properties
M_tot = 0.10 μB/atom
ρ = 15.25 g/cm3
space group = Fm-3m
formation enthalpy at 0 K = -0.04 eV per atom
DOS(E_F) = 5.23 states/eV/f.u.
calculated total energy = -8.318 eV/atom
E above lowest polymorph = 0.233 eV per atom


Entry from Alexandria via LeMat-Bulk: a relaxed URu2Au crystal (PBE-GGA).

CIF file:
```
data_URu2Au
_cell_length_a 3.7504
_cell_length_b 4.2515
_cell_length_c 4.2515
_cell_angle_alpha 90.00
_cell_angle_beta 90.00
_cell_angle_gamma 90.00
_space_group_name_H-M_alt 'P 1'
_space_group_IT_number 1
loop_
_space_group_symop_operation_xyz
'x,y,z'
loop_
_atom_site_label
_atom_site_type_symbol
_atom_site_fract_x
_atom_site_fract_y
_atom_site_fract_z
_atom_site_occupancy
Au1 Au 0.5000 0.0000 0.0000 1
U1 U 0.5000 0.5000 0.5000 1
Ru1 Ru 0.0000 0.0000 0.5000 1
Ru2 Ru 0.0000 0.5000 0.0000 1
```

## Properties
M_tot = 0.00 μB/atom
ρ = 15.61 g/cm3
space group = P4/mmm
formation enthalpy at 0 K = -0.27 eV per atom
DOS(E_F) = 5.00 states/eV/f.u.
calculated total energy = -8.551 eV/atom
E above lowest polymorph = 0.000 eV per atom


Entry from Alexandria via LeMat-Bulk: a relaxed V2RuAu crystal (PBE-GGA).

CIF file:
```
data_V2RuAu
_cell_length_a 2.7839
_cell_length_b 2.7839
_cell_length_c 8.9892
_cell_angle_alpha 81.09
_cell_angle_beta 81.09
_cell_angle_gamma 60.00
_space_group_name_H-M_alt 'P 1'
_space_group_IT_number 1
loop_
_space_group_symop_operation_xyz
'x,y,z'
loop_
_atom_site_label
_atom_site_type_symbol
_atom_site_fract_x
_atom_site_fract_y
_atom_site_fract_z
_atom_site_occupancy
Ru1 Ru 0.0000 0.0000 0.0000 1
Au1 Au 0.5000 0.5000 0.5000 1
V1 V 0.2553 0.2553 0.2340 1
V2 V 0.7447 0.7447 0.7660 1
```

## Properties
M_tot = 0.01 μB/atom
ρ = 11.19 g/cm3
space group = R-3m
formation enthalpy at 0 K = 0.09 eV per atom
DOS(E_F) = 7.31 states/eV/f.u.
calculated total energy = -7.609 eV/atom


Entry from Alexandria via LeMat-Bulk: a relaxed VRu2Au crystal (PBE-GGA).

CIF file:
```
data_VRu2Au
_cell_length_a 4.3802
_cell_length_b 4.3802
_cell_length_c 4.3802
_cell_angle_alpha 60.00
_cell_angle_beta 60.00
_cell_angle_gamma 60.00
_space_group_name_H-M_alt 'P 1'
_space_group_IT_number 1
loop_
_space_group_symop_operation_xyz
'x,y,z'
loop_
_atom_site_label
_atom_site_type_symbol
_atom_site_fract_x
_atom_site_fract_y
_atom_site_fract_z
_atom_site_occupancy
Ru1 Ru 0.2500 0.2500 0.2500 1
Ru2 Ru 0.7500 0.7500 0.7500 1
Au1 Au 0.5000 0.5000 0.5000 1
V1 V 0.0000 0.0000 0.0000 1
```

## Properties
M_tot = 0.00 μB/atom
ρ = 12.58 g/cm3
space group = Fm-3m
formation enthalpy at 0 K = 0.21 eV per atom
DOS(E_F) = 4.23 states/eV/f.u.
calculated total energy = -7.530 eV/atom
E above lowest polymorph = 0.180 eV per atom


Entry from Alexandria via LeMat-Bulk: a relaxed VRu2Au crystal (PBE-GGA).

CIF file:
```
data_VRu2Au
_cell_length_a 3.8474
_cell_length_b 3.8474
_cell_length_c 9.2874
_cell_angle_alpha 78.05
_cell_angle_beta 78.05
_cell_angle_gamma 90.00
_space_group_name_H-M_alt 'P 1'
_space_group_IT_number 1
loop_
_space_group_symop_operation_xyz
'x,y,z'
loop_
_atom_site_label
_atom_site_type_symbol
_atom_site_fract_x
_atom_site_fract_y
_atom_site_fract_z
_atom_site_occupancy
Ru1 Ru 0.5790 0.1250 0.2500 1
Ru2 Ru 0.1710 0.6250 0.2500 1
Ru3 Ru 0.3750 0.4210 0.7500 1
Ru4 Ru 0.8750 0.8290 0.7500 1
Au1 Au 0.0000 0.0000 0.0000 1
Au2 Au 0.7500 0.2500 0.5000 1
V1 V 0.5000 0.5000 0.0000 1
V2 V 0.2500 0.7500 0.5000 1
```

## Properties
M_tot = 0.19 μB/atom
ρ = 11.37 g/cm3
space group = I-42d
formation enthalpy at 0 K = 0.57 eV per atom
DOS(E_F) = 5.60 states/eV/f.u.
calculated total energy = -7.163 eV/atom
E above lowest polymorph = 0.547 eV per atom


Repeat the second record exactly.
Entry from Alexandria via LeMat-Bulk: a relaxed URu2Au crystal (PBE-GGA).

CIF file:
```
data_URu2Au
_cell_length_a 4.6126
_cell_length_b 4.6126
_cell_length_c 4.6126
_cell_angle_alpha 60.00
_cell_angle_beta 60.00
_cell_angle_gamma 60.00
_space_group_name_H-M_alt 'P 1'
_space_group_IT_number 1
loop_
_space_group_symop_operation_xyz
'x,y,z'
loop_
_atom_site_label
_atom_site_type_symbol
_atom_site_fract_x
_atom_site_fract_y
_atom_site_fract_z
_atom_site_occupancy
Au1 Au 0.5000 0.5000 0.5000 1
U1 U 0.0000 0.0000 0.0000 1
Ru1 Ru 0.2500 0.2500 0.2500 1
Ru2 Ru 0.7500 0.7500 0.7500 1
```

## Properties
M_tot = 0.10 μB/atom
ρ = 15.25 g/cm3
space group = Fm-3m
formation enthalpy at 0 K = -0.04 eV per atom
DOS(E_F) = 5.23 states/eV/f.u.
calculated total energy = -8.318 eV/atom
E above lowest polymorph = 0.233 eV per atom


Question: What is the ρ in the sixth record?
Answer: 11.37 g/cm3


Repeat the first record exactly.
Entry from Alexandria via LeMat-Bulk: a relaxed URuAu crystal (PBE-GGA).

CIF file:
```
data_URuAu
_cell_length_a 5.0003
_cell_length_b 5.5269
_cell_length_c 4.7484
_cell_angle_alpha 89.20
_cell_angle_beta 90.00
_cell_angle_gamma 116.89
_space_group_name_H-M_alt 'P 1'
_space_group_IT_number 1
loop_
_space_group_symop_operation_xyz
'x,y,z'
loop_
_atom_site_label
_atom_site_type_symbol
_atom_site_fract_x
_atom_site_fract_y
_atom_site_fract_z
_atom_site_occupancy
Ru1 Ru 0.3020 0.6039 0.3629 1
Ru2 Ru 0.6980 0.3961 0.6371 1
U1 U 0.6008 0.2015 0.1825 1
U2 U 0.3992 0.7985 0.8175 1
Au1 Au 0.9117 0.8234 0.2316 1
Au2 Au 0.0883 0.1766 0.7684 1
```

## Properties
M_tot = 0.27 μB/atom
ρ = 15.21 g/cm3
space group = C2/m
formation enthalpy at 0 K = -0.24 eV per atom
DOS(E_F) = 3.56 states/eV/f.u.
calculated total energy = -8.187 eV/atom